(1)
First-principles (PBE) data for a geometry-optimized PrSmDy2Tm5 structure, as listed in Alexandria via LeMat-Bulk.

The space group is I4/mcm (No. 140) and the conventional cell measures 8.833, 8.833 and 14.758 Å, with angles of 90.00, 90.00 and 90.00 degrees. Symmetry generates all atoms from Pr at (0.000, 0.000, 0.250), Sm at (0.000, 0.500, 0.250), Dy at (0.114, 0.386, 0.000), Tm at (0.000, 0.000, 0.000) and Tm at (0.205, 0.295, 0.368).

The calculation puts the formation energy at 278 meV per atom.

---

(2)
First-principles (PBE) data for a geometry-optimized CsNaTl2Tc structure, as listed in Alexandria via LeMat-Bulk.

The space group is P4/mmm (No. 123) and the conventional cell measures 6.499, 6.499 and 5.423 Å, with angles of 90.00, 90.00 and 90.00 degrees. Symmetry generates all atoms from Cs at (0.000, 0.000, 0.000), Na at (0.500, 0.500, 0.500), Tl at (0.000, 0.500, 0.000) and Tc at (0.000, 0.000, 0.500).

The calculation puts the formation energy at 1481 meV per atom.

---

(3)
First-principles (PBE) data for a geometry-optimized LaZr2Sc structure, as listed in Alexandria via LeMat-Bulk.

The space group is Fm-3m (No. 225) and the conventional cell measures 7.444, 7.444 and 7.444 Å, with angles of 90.00, 90.00 and 90.00 degrees. Symmetry generates all atoms from La at (0.000, 0.000, 0.000), Zr at (0.250, 0.250, 0.250) and Sc at (0.000, 0.000, 0.500).

The calculation puts the formation energy at 285 meV per atom.

---

(4)
First-principles (PBE) data for a geometry-optimized SnTe2N2 structure, as listed in Alexandria via LeMat-Bulk.

The space group is P4/mmm (No. 123) and the conventional cell measures 4.213, 4.213 and 6.088 Å, with angles of 90.00, 90.00 and 90.00 degrees. Symmetry generates all atoms from Sn at (0.000, 0.000, 0.000), Te at (0.500, 0.500, 0.000), Te at (0.500, 0.500, 0.500) and N at (0.000, 0.500, 0.500).

As for the raw formation energy: 1.297 eV/atom.

---

(5)
First-principles (PBE) data for a geometry-optimized Na2CuP2 structure, as listed in Alexandria via LeMat-Bulk.

The space group is Amm2 (No. 38) and the conventional cell measures 4.343, 3.916 and 11.182 Å, with angles of 90.00, 90.00 and 90.00 degrees. Symmetry generates all atoms from Na at (0.000, 0.000, 0.000), Na at (0.000, 0.000, 0.246), Cu at (0.500, 0.000, 0.423), P at (0.500, 0.000, 0.625) and P at (0.500, 0.000, 0.820).

The calculation puts the formation energy at -186 meV per atom.

---

(6)
First-principles (PBE) data for a geometry-optimized BeCu2SnB structure, as listed in Alexandria via LeMat-Bulk.

The space group is P4/mmm (No. 123) and the conventional cell measures 3.974, 3.974 and 4.730 Å, with angles of 90.00, 90.00 and 90.00 degrees. Symmetry generates all atoms from Be at (0.000, 0.000, 0.000), Cu at (0.000, 0.500, 0.500), Sn at (0.500, 0.500, 0.000) and B at (0.500, 0.500, 0.500).

The calculation puts the formation energy at 690 meV per atom.

---

(7)
First-principles (PBE) data for a geometry-optimized Ta2TlIn structure, as listed in Alexandria via LeMat-Bulk.

The space group is R3m (No. 160, hexagonal axes) and the conventional cell measures 3.0864, 3.0864 and 31.4087 Å, with angles of 90.00, 90.00 and 120.00 degrees. Symmetry generates all atoms from Ta at (0.0000, 0.0000, 0.0000), Ta at (0.0000, 0.0000, 0.2569), Tl at (0.0000, 0.0000, 0.5066) and In at (0.0000, 0.0000, 0.7456).

The calculation puts the formation energy at 429 meV per atom.

---

(8)
First-principles (PBE) data for a geometry-optimized AgMoPt structure, as listed in Alexandria via LeMat-Bulk.

The space group is I4mm (No. 107) and the conventional cell measures 2.811, 2.811 and 12.359 Å, with angles of 90.00, 90.00 and 90.00 degrees. Symmetry generates all atoms from Ag at (0.000, 0.000, 0.000), Mo at (0.000, 0.000, 0.325) and Pt at (0.000, 0.000, 0.677).

The calculation puts the formation energy at 48 meV per atom.

---

(9)
First-principles (PBE) data for a geometry-optimized La2HoSc structure, as listed in Alexandria via LeMat-Bulk.

The space group is Cmmm (No. 65) and the conventional cell measures 7.356, 9.462 and 3.694 Å, with angles of 90.00, 90.00 and 90.00 degrees. Symmetry generates all atoms from La at (0.250, 0.250, 0.000), Ho at (0.000, 0.000, 0.500) and Sc at (0.000, 0.500, 0.500).

The calculation puts the formation energy at 52 meV per atom.

---

(10)
First-principles (PBE) data for a geometry-optimized Gd2MnPd structure, as listed in Alexandria via LeMat-Bulk.

The space group is Fm-3m (No. 225) and the conventional cell measures 7.121, 7.121 and 7.121 Å, with angles of 90.00, 90.00 and 90.00 degrees. Symmetry generates all atoms from Gd at (0.250, 0.250, 0.250), Mn at (0.000, 0.000, 0.000) and Pd at (0.000, 0.000, 0.500).

The calculation puts the formation energy at -203 meV per atom.

---

(11)
First-principles (PBE) data for a geometry-optimized MgHgSb2I structure, as listed in Alexandria via LeMat-Bulk.

The space group is P4/mmm (No. 123) and the conventional cell measures 5.534, 5.534 and 5.711 Å, with angles of 90.00, 90.00 and 90.00 degrees. Symmetry generates all atoms from Mg at (0.000, 0.000, 0.000), Hg at (0.500, 0.500, 0.500), Sb at (0.000, 0.500, 0.000) and I at (0.000, 0.000, 0.500).

As for the raw formation energy: 0.336 eV/atom.

---

(12)
First-principles (PBE) data for a geometry-optimized RbGa3Mo structure, as listed in Alexandria via LeMat-Bulk.

The space group is Pm-3m (No. 221) and the conventional cell measures 5.731, 5.731 and 5.731 Å, with angles of 90.00, 90.00 and 90.00 degrees. Symmetry generates all atoms from Rb at (0.000, 0.000, 0.000), Ga at (0.000, 0.000, 0.500) and Mo at (0.500, 0.500, 0.500).

The calculation puts the formation energy at 1961 meV per atom.

---

(13)
First-principles (PBE) data for a geometry-optimized Pm3Nd8Er2 structure, as listed in Alexandria via LeMat-Bulk.

The space group is C2/m (No. 12) and the conventional cell measures 13.245, 11.895 and 6.238 Å, with angles of 90.00, 113.30 and 90.00 degrees. Symmetry generates all atoms from Pm at (0.000, 0.000, 0.000), Pm at (0.000, 0.245, 0.500), Nd at (0.056, 0.500, 0.287), Nd at (0.153, 0.000, 0.550), Nd at (0.173, 0.256, 0.172) and Er at (0.212, 0.500, 0.857).

The calculation puts the formation energy at 155 meV per atom.

---

(14)
First-principles (PBE) data for a geometry-optimized Nb2GaHOs structure, as listed in Alexandria via LeMat-Bulk.

The space group is P4/mmm (No. 123) and the conventional cell measures 4.142, 4.142 and 3.952 Å, with angles of 90.00, 90.00 and 90.00 degrees. Symmetry generates all atoms from Nb at (0.000, 0.500, 0.000), Ga at (0.000, 0.000, 0.500), H at (0.500, 0.500, 0.000) and Os at (0.500, 0.500, 0.500).

For the total DFT energy (no corrections), the calculation gives -7.681 eV per atom.

---

(15)
First-principles (PBE) data for a geometry-optimized MgTaAu structure, as listed in Alexandria via LeMat-Bulk.

The space group is P6_3/mmc (No. 194) and the conventional cell measures 4.7167, 4.7167 and 5.6539 Å, with angles of 90.00, 90.00 and 120.00 degrees. Symmetry generates all atoms from Mg at (0.3333, 0.6667, 0.2500), Ta at (0.3333, 0.6667, 0.7500) and Au at (0.0000, 0.0000, 0.0000).

The calculation puts the formation energy at 558 meV per atom.

---

(16)
First-principles (PBE) data for a geometry-optimized CaLaNdTh structure, as listed in Alexandria via LeMat-Bulk.

The space group is P4mm (No. 99) and the conventional cell measures 3.683, 3.683 and 10.738 Å, with angles of 90.00, 90.00 and 90.00 degrees. Symmetry generates all atoms from Ca at (0.000, 0.000, 0.000), La at (0.500, 0.500, 0.719), Nd at (0.500, 0.500, 0.270) and Th at (0.000, 0.000, 0.494).

The calculation puts the formation energy at 28 meV per atom.

---

(17)
First-principles (PBE) data for a geometry-optimized Zr2ScSn2 structure, as listed in Alexandria via LeMat-Bulk.

The space group is P4/mbm (No. 127) and the conventional cell measures 7.670, 7.670 and 3.946 Å, with angles of 90.00, 90.00 and 90.00 degrees. Symmetry generates all atoms from Zr at (0.163, 0.337, 0.000), Sc at (0.000, 0.000, 0.500) and Sn at (0.138, 0.638, 0.500).

The calculation puts the formation energy at -521 meV per atom.

---

(18)
First-principles (PBE) data for a geometry-optimized CsSiTeHSe structure, as listed in Alexandria via LeMat-Bulk.

The space group is Pm (No. 6) and the conventional cell measures 5.719, 4.076 and 7.229 Å, with angles of 90.00, 105.23 and 90.00 degrees. Symmetry generates all atoms from Cs at (0.000, 0.000, 0.000), Si at (0.579, 0.500, 0.438), Te at (0.380, 0.000, 0.567), H at (0.837, 0.500, 0.561) and Se at (0.542, 0.500, 0.128).

For the total DFT energy (no corrections), the calculation gives -3.775 eV per atom.

---

(19)
First-principles (PBE) data for a geometry-optimized Pm3Mg7Pb4 structure, as listed in Alexandria via LeMat-Bulk.

The space group is C2/m (No. 12) and the conventional cell measures 17.398, 4.657 and 11.135 Å, with angles of 90.00, 125.10 and 90.00 degrees. Symmetry generates all atoms from Pm at (0.000, 0.000, 0.000), Pm at (0.191, 0.500, 0.700), Mg at (0.000, 0.000, 0.500), Mg at (0.017, 0.500, 0.332), Mg at (0.162, 0.000, 0.441), Mg at (0.180, 0.500, 0.018), Pb at (0.113, 0.000, 0.832) and Pb at (0.151, 0.500, 0.251).

The calculation puts the formation energy at -285 meV per atom.

---

(20)
First-principles (PBE) data for a geometry-optimized La2CdHg4 structure, as listed in Alexandria via LeMat-Bulk.

The space group is I4/mmm (No. 139) and the conventional cell measures 5.303, 5.303 and 16.288 Å, with angles of 90.00, 90.00 and 90.00 degrees. Symmetry generates all atoms from La at (0.000, 0.000, 0.125), Cd at (0.000, 0.000, 0.500), Hg at (0.000, 0.000, 0.317) and Hg at (0.000, 0.500, 0.000).

The calculation puts the formation energy at -71 meV per atom.

---

(21)
First-principles (PBE) data for a geometry-optimized CaZrFe2 structure, as listed in Alexandria via LeMat-Bulk.

The space group is P4mm (No. 99) and the conventional cell measures 3.187, 3.187 and 7.798 Å, with angles of 90.00, 90.00 and 90.00 degrees. Symmetry generates all atoms from Ca at (0.000, 0.000, 0.000), Zr at (0.500, 0.500, 0.619), Fe at (0.000, 0.000, 0.414) and Fe at (0.500, 0.500, 0.271).

The calculation puts the formation energy at 258 meV per atom.

---

(22)
First-principles (PBE) data for a geometry-optimized Tm8Ge3Te3As structure, as listed in Alexandria via LeMat-Bulk.

The space group is R-3m (No. 166, hexagonal axes) and the conventional cell measures 8.3107, 8.3107 and 20.6821 Å, with angles of 90.00, 90.00 and 120.00 degrees. Symmetry generates all atoms from Tm at (0.0000, 0.0000, 0.2395), Tm at (0.0076, 0.5038, 0.7594), Ge at (0.0000, 0.5000, 0.5000), Te at (0.0000, 0.5000, 0.0000) and As at (0.0000, 0.0000, 0.5000).

As for the raw formation energy: -1.056 eV/atom.

---

(23)
First-principles (PBE) data for a geometry-optimized Ho4Ir3Rh structure, as listed in Alexandria via LeMat-Bulk.

The space group is P4/mmm (No. 123) and the conventional cell measures 4.891, 4.891 and 6.638 Å, with angles of 90.00, 90.00 and 90.00 degrees. Symmetry generates all atoms from Ho at (0.000, 0.500, 0.249), Ir at (0.000, 0.000, 0.000), Ir at (0.000, 0.000, 0.500), Ir at (0.500, 0.500, 0.000) and Rh at (0.500, 0.500, 0.500).

The calculation puts the formation energy at -870 meV per atom.

---

(24)
First-principles (PBE) data for a geometry-optimized Ac2CuPd3 structure, as listed in Alexandria via LeMat-Bulk.

The space group is Fmmm (No. 69) and the conventional cell measures 8.067, 9.153 and 15.722 Å, with angles of 90.00, 90.00 and 90.00 degrees. Symmetry generates all atoms from Ac at (0.247, 0.000, 0.000), Ac at (0.250, 0.250, 0.250), Cu at (0.000, 0.000, 0.333), Pd at (0.000, 0.000, 0.172) and Pd at (0.000, 0.241, 0.413).

The calculation puts the formation energy at -682 meV per atom.

---

(25)
First-principles (PBE) data for a geometry-optimized CrNiP2 structure, as listed in Alexandria via LeMat-Bulk.

The space group is P4mm (No. 99) and the conventional cell measures 3.153, 3.153 and 4.732 Å, with angles of 90.00, 90.00 and 90.00 degrees. Symmetry generates all atoms from Cr at (0.000, 0.000, 0.000), Ni at (0.500, 0.500, 0.353), P at (0.000, 0.000, 0.492) and P at (0.500, 0.500, 0.833).

The calculation puts the formation energy at -353 meV per atom.

---

(26)
First-principles (PBE) data for a geometry-optimized AlTe2RhN structure, as listed in Alexandria via LeMat-Bulk.

The space group is P4/mmm (No. 123) and the conventional cell measures 5.437, 5.437 and 3.411 Å, with angles of 90.00, 90.00 and 90.00 degrees. Symmetry generates all atoms from Al at (0.000, 0.000, 0.000), Te at (0.000, 0.500, 0.000), Rh at (0.500, 0.500, 0.500) and N at (0.000, 0.000, 0.500).

As for the raw formation energy: 0.485 eV/atom.